The following is a GGA+U calculation of a relaxed structure of Na2TiCrP3O12, from the Alexandria database.

The value obtained for the total energy is -138.7 eV per formula unit. The space group is C2. As for the density of states at the Fermi level: 0.000 states/eV per atom.

The structure in POSCAR format:
```
Na2TiCrP3O12
1.0
7.537 -4.365 0.000
7.537 4.365 0.000
-5.056 0.000 7.298
Na Ti Cr P O
4 2 2 6 24
direct
0.183 0.183 0.493
0.440 0.091 0.248
0.817 0.817 0.507
0.909 0.560 0.752
0.076 0.708 0.178
0.292 0.924 0.822
0.578 0.217 0.691
0.783 0.422 0.309
0.187 0.527 0.498
0.389 0.319 0.992
0.473 0.813 0.502
0.681 0.611 0.008
0.894 0.106 0.500
0.971 0.029 0.000
0.001 0.847 0.020
0.016 0.507 0.495
0.066 0.071 0.670
0.141 0.561 0.323
0.153 0.999 0.980
0.207 0.490 0.013
0.221 0.700 0.666
0.300 0.779 0.334
0.354 0.343 0.506
0.362 0.149 0.982
0.401 0.283 0.810
0.439 0.859 0.677
0.493 0.984 0.505
0.510 0.793 0.987
0.561 0.349 0.159
0.651 0.439 0.841
0.657 0.646 0.494
0.715 0.123 0.512
0.717 0.599 0.190
0.803 0.049 0.824
0.851 0.638 0.018
0.877 0.285 0.488
0.929 0.934 0.330
0.951 0.197 0.176
```

---

The following is a GGA+U calculation of a relaxed structure of BeFeNO2, from the Alexandria database.

The value obtained for the total energy is -28.2 eV per formula unit. The space group is P4/mmm. As for the density of states at the Fermi level: 0.736 states/eV per atom.

The structure in POSCAR format:
```
BeFeNO2
1.0
3.599 0.000 0.000
0.000 3.599 0.000
0.000 0.000 3.315
Be Fe N O
1 1 1 2
direct
0.000 0.000 0.000
0.500 0.500 0.500
0.000 0.000 0.500
0.000 0.500 0.000
0.500 0.000 0.000
```